# 1
A plane-wave DFT calculation with PBE was carried out for an optimized crystal structure of K3NaU2Te6.

* calculated total energy: -4.761 eV per atom
* formation energy without anion corrections: -0.9249 eV/atom

Cell: 7.9386 7.9386 8.5733 Å, 98.88 98.88 120.00°
Last column: nearest neighbours and their distance in Å.
Positions (direct):
K1 0.8408 0.1592 0.5000  6 Te 3.49-3.63
Te1 0.9298 0.5753 0.7905  2 U 3.08, 1 Na 3.29
Te2 0.5753 0.9298 0.7905  2 U 3.08, 1 Na 3.29
U1 0.6675 0.3325 0.0000  6 Te 3.08
U2 0.3325 0.6675 0.0000  6 Te 3.08
K2 0.1592 0.8408 0.5000  6 Te 3.49-3.63
Te3 0.4247 0.0702 0.2095  2 U 3.08, 1 Na 3.29
K3 0.5000 0.5000 0.5000  6 Te 3.45-3.62
Na1 0.0000 0.0000 0.0000  6 Te 3.27-3.29
Te4 0.2843 0.2843 0.7931  2 U 3.08, 1 Na 3.27, 1 K 3.45
Te5 0.0702 0.4247 0.2095  2 U 3.08, 1 Na 3.29
Te6 0.7157 0.7157 0.2069  2 U 3.08, 1 Na 3.27, 1 K 3.45


# 2
A plane-wave DFT calculation with PBE was carried out for an optimized crystal structure of Pr6YEr.

* calculated total energy: -4.619 eV per atom
* calculated formation energy: 0.344 eV per atom
* ΔE to the lowest computed polymorph: 332 meV/atom

Cell: 5.9007 5.9007 9.3244 Å, 78.20 78.20 76.42°
Last column: nearest neighbours and their distance in Å.
Positions (direct):
Pr1 0.5172 0.0450 0.2989  4 Pr 3.39-3.76, 2 Y 3.39-3.55, 1 Er 3.56
Pr2 0.4828 0.9550 0.7011  4 Pr 3.39-3.76, 2 Y 3.39-3.55, 1 Er 3.56
Y1 0.5000 0.5000 0.5000  8 Pr 3.39-3.55
Pr3 0.9550 0.4828 0.7011  4 Pr 3.39-3.76, 2 Y 3.39-3.55, 1 Er 3.56
Pr4 0.3713 0.3713 0.9220  3 Pr 3.10-3.39, 1 Er 3.33
Pr5 0.6287 0.6287 0.0780  3 Pr 3.10-3.39, 1 Er 3.33
Pr6 0.0450 0.5172 0.2989  4 Pr 3.39-3.76, 2 Y 3.39-3.55, 1 Er 3.56
Er1 0.0000 0.0000 0.0000  6 Pr 3.33-3.56


# 3
A plane-wave DFT calculation with PBE was carried out for an optimized crystal structure of Y2ReGeH.

* calculated total energy: -6.077 eV per atom

Cell: 5.5310 3.3443 5.5310 Å, 90.00 90.00 90.00°
Last column: nearest neighbours and their distance in Å.
Positions (direct):
Ge1 0.0000 0.0000 0.0000  2 H 1.67
H1 0.0000 0.5000 0.0000  2 Ge 1.67
Y1 0.0000 0.0000 0.5000  2 Ge 2.77
Re1 0.5000 0.5000 0.5000  8 Y 3.23, 2 Re 3.34
Y2 0.5000 0.0000 0.0000  2 Ge 2.77


For reference, volume by record: 37.1, 38.1, 20.5 Å³ per atom.